Density functional theory data (PBE-GGA) for crystalline TbBBr at its relaxed geometry.

abc: 3.5531 3.5531 11.8427
angles: 89.02 89.02 60.00
Element x y z (fractional)
1 Tb 0.9942 0.9942 0.6537
2 Tb 0.0058 0.0058 0.3463
3 B 0.6665 0.6665 0.5056
4 B 0.3335 0.3335 0.4944
5 Br 0.6790 0.6790 0.1764
6 Br 0.3210 0.3210 0.8236

Calculated values
final energy	-32.2	eV for the cell shown
mass density	6.40	g/cm3
space-group type	No. 12
uncorrected formation energy	-1.047	eV/atom
excess energy over the best structure of this formula in the dataset	0.000	eV per atom

Density functional theory data (PBE-GGA) for crystalline Tb4B2Br5 at its relaxed geometry.

abc: 3.8945 8.0145 10.9305
angles: 111.51 100.26 90.00
Element x y z (fractional)
1 Tb 0.0000 0.2978 0.0000
2 Tb 0.6548 0.6548 0.3096
3 Tb 0.0000 0.7022 0.0000
4 Tb 0.3452 0.3452 0.6904
5 B 0.4606 0.4606 0.9212
6 B 0.5394 0.5394 0.0788
7 Br 0.8375 0.0762 0.6750
8 Br 0.8375 0.5988 0.6750
9 Br 0.1625 0.4012 0.3250
10 Br 0.1625 0.9238 0.3250
11 Br 0.5000 0.0000 0.0000

Calculated values
final energy	-53.9	eV for the cell shown
mass density	5.63	g/cm3
space-group type	No. 71
uncorrected formation energy	-1.238	eV/atom
excess energy over the best structure of this formula in the dataset	0.017	eV per atom

Density functional theory data (PBE-GGA) for crystalline Tb4BBr5 at its relaxed geometry.

abc: 3.9353 8.1745 10.1099
angles: 89.65 101.22 90.00
Element x y z (fractional)
1 Tb 0.3755 0.0023 0.7510
2 Tb 0.9999 0.7893 0.9997
3 Tb 0.6245 0.9977 0.2490
4 Tb 0.0001 0.2107 0.0003
5 B 0.5000 0.0000 0.0000
6 Br 0.8488 0.7529 0.6977
7 Br 0.8493 0.2525 0.6986
8 Br 0.1507 0.7475 0.3014
9 Br 0.5000 0.5000 0.0000
10 Br 0.1512 0.2471 0.3023

Calculated values
final energy	-47.4	eV for the cell shown
mass density	5.44	g/cm3
space-group type	No. 12
uncorrected formation energy	-1.385	eV/atom
excess energy over the best structure of this formula in the dataset	0.026	eV per atom

Density functional theory data (PBE-GGA) for crystalline Tb4B2Br5 at its relaxed geometry.

abc: 3.8718 8.0401 10.4701
angles: 98.53 100.66 90.00
Element x y z (fractional)
1 Tb 0.6546 0.5698 0.3092
2 Tb 0.0071 0.7039 0.0142
3 Tb 0.3454 0.4302 0.6908
4 Tb 0.9929 0.2961 0.9858
5 B 0.5389 0.5088 0.0779
6 B 0.4611 0.4912 0.9221
7 Br 0.1560 0.8321 0.3119
8 Br 0.8440 0.1679 0.6881
9 Br 0.1858 0.3283 0.3715
10 Br 0.5000 0.0000 0.0000
11 Br 0.8142 0.6717 0.6285

Calculated values
final energy	-54.1	eV for the cell shown
mass density	5.54	g/cm3
space-group type	No. 12
uncorrected formation energy	-1.256	eV/atom
excess energy over the best structure of this formula in the dataset	0.000	eV per atom

Density functional theory data (PBE-GGA) for crystalline Tb3BBr3 at its relaxed geometry.

abc: 9.7971 9.7971 9.7971
angles: 109.47 109.47 109.47
Element x y z (fractional)
1 Tb 0.4602 0.4801 0.2301
2 Tb 0.7500 0.2301 0.2699
3 Tb 0.7500 0.0199 0.4801
4 Tb 0.2301 0.4602 0.4801
5 Tb 0.2699 0.7500 0.2301
6 Tb 0.0398 0.2699 0.0199
7 Tb 0.0199 0.0398 0.2699
8 Tb 0.4801 0.7500 0.0199
9 Tb 0.4801 0.2301 0.4602
10 Tb 0.0199 0.4801 0.7500
11 Tb 0.2699 0.0199 0.0398
12 Tb 0.2301 0.2699 0.7500
13 B 0.2500 0.2500 0.2500
14 B 0.5000 0.0000 0.2500
15 B 0.0000 0.2500 0.5000
16 B 0.2500 0.5000 0.0000
17 Br 0.2500 0.7577 0.7423
18 Br 0.5153 0.5077 0.7577
19 Br 0.9847 0.7423 0.9923
20 Br 0.7423 0.2500 0.7577
21 Br 0.9923 0.9847 0.7423
22 Br 0.2500 0.9923 0.5077
23 Br 0.7577 0.5153 0.5077
24 Br 0.5077 0.2500 0.9923
25 Br 0.7577 0.7423 0.2500
26 Br 0.7423 0.9923 0.9847
27 Br 0.9923 0.5077 0.2500
28 Br 0.5077 0.7577 0.5153

Calculated values
final energy	-138.0	eV for the cell shown
mass density	6.67	g/cm3
space-group type	No. 214
uncorrected formation energy	-1.274	eV/atom

Density functional theory data (PBE-GGA) for crystalline TbBBr at its relaxed geometry.

abc: 4.0880 4.0880 10.0376
angles: 86.13 86.13 74.40
Element x y z (fractional)
1 Tb 0.8378 0.8378 0.8521
2 Tb 0.1622 0.1622 0.1479
3 B 0.3474 0.6526 0.0000
4 B 0.6526 0.3474 0.0000
5 Br 0.7742 0.7742 0.3169
6 Br 0.2258 0.2258 0.6831

Calculated values
final energy	-30.6	eV for the cell shown
mass density	5.15	g/cm3
space-group type	No. 12
uncorrected formation energy	-0.775	eV/atom
excess energy over the best structure of this formula in the dataset	0.272	eV per atom

Density functional theory data (PBE-GGA) for crystalline TcB2Br at its relaxed geometry.

abc: 5.2803 5.2803 6.1924
angles: 64.76 64.76 90.00
Element x y z (fractional)
1 B 0.7010 0.1250 0.2500
2 B 0.0490 0.6250 0.2500
3 B 0.3750 0.2990 0.7500
4 B 0.8750 0.9510 0.7500
5 Tc 0.0000 0.0000 0.0000
6 Tc 0.7500 0.2500 0.5000
7 Br 0.5000 0.5000 0.0000
8 Br 0.2500 0.7500 0.5000

Calculated values
final energy	-42.5	eV for the cell shown
mass density	4.81	g/cm3
space-group type	No. 122
uncorrected formation energy	1.031	eV/atom
excess energy over the best structure of this formula in the dataset	0.000	eV per atom

Density functional theory data (PBE-GGA) for crystalline TcB2Br at its relaxed geometry.

abc: 4.0450 4.0450 4.0450
angles: 60.00 60.00 60.00
Element x y z (fractional)
1 B 0.2500 0.2500 0.2500
2 B 0.7500 0.7500 0.7500
3 Tc 0.5000 0.5000 0.5000
4 Br 0.0000 0.0000 0.0000

Calculated values
final energy	-17.8	eV for the cell shown
mass density	7.08	g/cm3
space-group type	No. 225
uncorrected formation energy	1.910	eV/atom
excess energy over the best structure of this formula in the dataset	0.879	eV per atom

Question: What is the uncorrected formation energy in the seventh record?
Answer: 1.031 eV/atom

Question: The highest mass density belongs to which entry?
Answer: number 8

Please write out number 5 again, unchanged.
Density functional theory data (PBE-GGA) for crystalline Tb3BBr3 at its relaxed geometry.

abc: 9.7971 9.7971 9.7971
angles: 109.47 109.47 109.47
Element x y z (fractional)
1 Tb 0.4602 0.4801 0.2301
2 Tb 0.7500 0.2301 0.2699
3 Tb 0.7500 0.0199 0.4801
4 Tb 0.2301 0.4602 0.4801
5 Tb 0.2699 0.7500 0.2301
6 Tb 0.0398 0.2699 0.0199
7 Tb 0.0199 0.0398 0.2699
8 Tb 0.4801 0.7500 0.0199
9 Tb 0.4801 0.2301 0.4602
10 Tb 0.0199 0.4801 0.7500
11 Tb 0.2699 0.0199 0.0398
12 Tb 0.2301 0.2699 0.7500
13 B 0.2500 0.2500 0.2500
14 B 0.5000 0.0000 0.2500
15 B 0.0000 0.2500 0.5000
16 B 0.2500 0.5000 0.0000
17 Br 0.2500 0.7577 0.7423
18 Br 0.5153 0.5077 0.7577
19 Br 0.9847 0.7423 0.9923
20 Br 0.7423 0.2500 0.7577
21 Br 0.9923 0.9847 0.7423
22 Br 0.2500 0.9923 0.5077
23 Br 0.7577 0.5153 0.5077
24 Br 0.5077 0.2500 0.9923
25 Br 0.7577 0.7423 0.2500
26 Br 0.7423 0.9923 0.9847
27 Br 0.9923 0.5077 0.2500
28 Br 0.5077 0.7577 0.5153

Calculated values
final energy	-138.0	eV for the cell shown
mass density	6.67	g/cm3
space-group type	No. 214
uncorrected formation energy	-1.274	eV/atom